[1]
A geometry-optimized TmZnCuS3 structure. Source: OQMD, functional PBE. Values from VASP.

Quantum ESPRESSO input file:
```
&SYSTEM
  ibrav = 0, nat = 12, ntyp = 4
/
ATOMIC_SPECIES
Tm 168.93 Tm.upf
Zn 65.41 Zn.upf
Cu 63.55 Cu.upf
S 32.06 S.upf
ATOMIC_POSITIONS angstrom
Tm 0.000 0.000 0.000
Tm 0.000 0.000 5.109
Zn 1.820 3.158 7.664
Zn 1.820 -3.158 2.555
Cu 1.820 0.241 2.555
Cu 1.820 -0.241 7.664
S 1.820 4.693 2.555
S 1.820 1.757 0.844
S 1.820 1.757 4.265
S 1.820 -1.757 5.954
S 1.820 -1.757 9.375
S 1.820 -4.693 7.664
CELL_PARAMETERS angstrom
1.820 -5.964 0.000
1.820 5.964 0.000
0.000 0.000 10.219
```

Space-group type   No. 63
E_tot   -4.58 eV/atom

[2]
A geometry-optimized Sm4B2Cl5 structure. Source: OQMD, functional PBE. Values from VASP.

Quantum ESPRESSO input file:
```
&SYSTEM
  ibrav = 0, nat = 11, ntyp = 3
/
ATOMIC_SPECIES
Sm 150.36 Sm.upf
B 10.81 B.upf
Cl 35.45 Cl.upf
ATOMIC_POSITIONS angstrom
Sm -0.650 0.000 1.536
Sm -2.376 0.000 5.615
Sm 3.965 0.000 5.925
Sm 12.767 0.000 1.227
B 6.130 0.000 6.845
B 10.602 0.000 0.306
Cl 2.043 0.000 3.062
Cl 0.596 0.000 6.492
Cl 8.366 0.000 3.576
Cl 16.136 0.000 0.660
Cl 14.689 0.000 4.089
CELL_PARAMETERS angstrom
9.879 -1.956 0.000
9.879 1.956 0.000
-3.026 0.000 7.152
```

Space-group type   No. 12
E_tot   -5.25 eV/atom

[3]
A geometry-optimized B4Mo structure. Source: OQMD, functional PBE. Values from VASP.

Quantum ESPRESSO input file:
```
&SYSTEM
  ibrav = 0, nat = 5, ntyp = 2
/
ATOMIC_SPECIES
B 10.81 B.upf
Mo 95.94 Mo.upf
ATOMIC_POSITIONS angstrom
B 1.481 -1.549 2.000
B 0.000 0.940 0.889
B 1.481 1.549 2.000
B 0.000 4.038 0.889
Mo 0.000 0.000 2.889
CELL_PARAMETERS angstrom
-1.481 2.489 2.889
1.481 -2.489 2.889
1.481 2.489 -2.889
```

E above lowest polymorph   0.0 meV per atom
Space-group type   No. 71